Entry 1:
Density functional theory data (PBE) for crystalline Sm2ReTcN6 at its relaxed geometry.

a b c (Å): 5.4860 5.5944 9.5772
angles (deg): 90.00 124.92 90.00
Space group P2_1/c (No. 14)
Unique sites:
Sm1 0.2450 0.0491 0.2500
Re1 0.0000 0.0000 0.5000
Tc1 0.5000 0.0000 0.0000
N1 0.1698 0.2084 0.9643
N2 0.2565 0.7061 0.9644
N3 0.3180 0.0124 0.7487

Calculated values
VASP energy = -8.8178 eV/atom
crystal system = monoclinic
E_form (uncorrected) = -5.97 eV per formula unit

Entry 2:
Density functional theory data (PBE) for crystalline Sm2ThReN5 at its relaxed geometry.

a b c (Å): 6.7079 6.7079 11.4697
angles (deg): 90.00 90.00 90.00
Space group I4/mcm (No. 140)
Unique sites:
Sm1 0.1706 0.3294 0.0000
Th1 0.0000 0.0000 0.2500
Re1 0.0000 0.5000 0.2500
N1 0.0000 0.0000 0.0000
N2 0.1512 0.3488 0.3550

Calculated values
VASP energy = -8.9152 eV/atom
crystal system = tetragonal
E_form (uncorrected) = -9.30 eV per formula unit

Entry 3:
Density functional theory data (PBE) for crystalline Sm2VReN5 at its relaxed geometry.

a b c (Å): 3.3857 13.5997 9.7685
angles (deg): 90.00 90.00 90.00
Space group Cmc2_1 (No. 36)
Unique sites:
Sm1 0.0000 0.1187 0.0000
Sm2 0.0000 0.1352 0.6182
V1 0.0000 0.4456 0.7684
Re1 0.0000 0.2100 0.3305
N1 0.0000 0.0456 0.3547
N2 0.0000 0.2959 0.9542
N3 0.0000 0.3143 0.6888
N4 0.0000 0.3505 0.3227
N5 0.0000 0.4994 0.1058

Calculated values
VASP energy = -8.9818 eV/atom
crystal system = orthorhombic
E_form (uncorrected) = -8.20 eV per formula unit

Entry 4:
Density functional theory data (PBE) for crystalline Sm2ReWN6 at its relaxed geometry.

a b c (Å): 5.5467 5.6272 9.5959
angles (deg): 90.00 125.19 90.00
Space group P2_1/c (No. 14)
Unique sites:
Sm1 0.2420 0.0436 0.2500
Re1 0.0000 0.0000 0.5000
W1 0.5000 0.0000 0.0000
N1 0.1712 0.2132 0.9606
N2 0.2468 0.7109 0.9607
N3 0.3214 0.0122 0.7483

Calculated values
VASP energy = -9.2828 eV/atom
crystal system = monoclinic
E_form (uncorrected) = -8.04 eV per formula unit

Entry 5:
Density functional theory data (PBE) for crystalline Re5Sn3N12 at its relaxed geometry.

a b c (Å): 13.0828 13.0828 13.0828
angles (deg): 90.00 90.00 90.00
Space group Ia-3d (No. 230)
Unique sites:
Re1 0.0000 0.0000 0.0000
Re2 0.0000 0.2500 0.3750
Sn1 0.0000 0.2500 0.1250
N1 0.0353 0.0354 0.6464

Calculated values
VASP energy = -8.4534 eV/atom
crystal system = cubic
E_form (uncorrected) = 5.09 eV per formula unit

Entry 6:
Density functional theory data (PBE) for crystalline ReSnN2 at its relaxed geometry.

a b c (Å): 5.4460 5.4460 9.2211
angles (deg): 90.00 90.00 90.00
Space group I-42d (No. 122)
Unique sites:
Re1 0.0000 0.0000 0.0000
Sn1 0.0000 0.0000 0.5000
N1 0.1132 0.2500 0.1250

Calculated values
VASP energy = -7.8818 eV/atom
crystal system = tetragonal
E_form (uncorrected) = 1.57 eV per formula unit

Among the records above, which one has the highest E_form (uncorrected)?
Re5Sn3N12